No. 1
Compound: LiTbNdAu
Source: the Alexandria database
Functional: PBE
Structure: optimized geometry

Structure (CIF):
```
data_LiTbNdAu
_chemical_formula_sum 'Li1 Tb1 Nd1 Au1'
_symmetry_space_group_name_H-M 'P 1'
_symmetry_Int_Tables_number 1
_cell_length_a 3.7478
_cell_length_b 5.1253
_cell_length_c 5.1691
_cell_angle_alpha 90.00
_cell_angle_beta 90.00
_cell_angle_gamma 90.00
loop_
_symmetry_equiv_pos_as_xyz
'x,y,z'
loop_
_atom_site_label
_atom_site_type_symbol
_atom_site_fract_x
_atom_site_fract_y
_atom_site_fract_z
_atom_site_occupancy
Li1 Li 0.0000 0.5000 0.5000 1
Tb1 Tb 0.5000 0.5000 0.0000 1
Nd1 Nd 0.5000 0.0000 0.5000 1
Au1 Au 0.0000 0.0000 0.0000 1
```

Calculated values
spin magnetization	0.000	μB/atom
calculated total energy	-16.097	eV per cell
relative energy among the computed polymorphs	0.000	eV per atom
N(E_F)	3.70	states/eV/f.u.
energy relative to the elements	-8.7	kcal/mol of atoms


No. 2
Compound: LiTbNdAu
Source: the Alexandria database
Functional: PBE
Structure: optimized geometry

Structure (CIF):
```
data_LiTbNdAu
_chemical_formula_sum 'Li1 Tb1 Nd1 Au1'
_symmetry_space_group_name_H-M 'P 1'
_symmetry_Int_Tables_number 1
_cell_length_a 5.2058
_cell_length_b 5.2058
_cell_length_c 5.2058
_cell_angle_alpha 60.00
_cell_angle_beta 60.00
_cell_angle_gamma 60.00
loop_
_symmetry_equiv_pos_as_xyz
'x,y,z'
loop_
_atom_site_label
_atom_site_type_symbol
_atom_site_fract_x
_atom_site_fract_y
_atom_site_fract_z
_atom_site_occupancy
Au1 Au 0.0000 0.0000 0.0000 1
Nd1 Nd 0.7500 0.7500 0.7500 1
Li1 Li 0.5000 0.5000 0.5000 1
Tb1 Tb 0.2500 0.2500 0.2500 1
```

Calculated values
spin magnetization	0.000	μB/atom
calculated total energy	-16.012	eV per cell
relative energy among the computed polymorphs	0.021	eV per atom
N(E_F)	3.96	states/eV/f.u.
energy relative to the elements	-8.2	kcal/mol of atoms


No. 3
Compound: LiNdTlAu
Source: the Alexandria database
Functional: PBE
Structure: optimized geometry

Structure (CIF):
```
data_LiNdTlAu
_chemical_formula_sum 'Li1 Nd1 Tl1 Au1'
_symmetry_space_group_name_H-M 'P 1'
_symmetry_Int_Tables_number 1
_cell_length_a 4.9938
_cell_length_b 4.9938
_cell_length_c 4.9938
_cell_angle_alpha 60.00
_cell_angle_beta 60.00
_cell_angle_gamma 60.00
loop_
_symmetry_equiv_pos_as_xyz
'x,y,z'
loop_
_atom_site_label
_atom_site_type_symbol
_atom_site_fract_x
_atom_site_fract_y
_atom_site_fract_z
_atom_site_occupancy
Li1 Li 0.5000 0.5000 0.5000 1
Tl1 Tl 0.7500 0.7500 0.7500 1
Au1 Au 0.0000 0.0000 0.0000 1
Nd1 Nd 0.2500 0.2500 0.2500 1
```

Calculated values
spin magnetization	0.000	μB/atom
calculated total energy	-14.315	eV per cell
relative energy among the computed polymorphs	0.000	eV per atom
N(E_F)	0.86	states/eV/f.u.
energy relative to the elements	-11.5	kcal/mol of atoms


No. 4
Compound: Li2NdTlAu2
Source: the Alexandria database
Functional: PBE
Structure: optimized geometry

Structure (CIF):
```
data_Li2NdTlAu2
_chemical_formula_sum 'Li2 Nd1 Tl1 Au2'
_symmetry_space_group_name_H-M 'P 1'
_symmetry_Int_Tables_number 1
_cell_length_a 4.6440
_cell_length_b 4.6440
_cell_length_c 6.7437
_cell_angle_alpha 90.00
_cell_angle_beta 90.00
_cell_angle_gamma 120.00
loop_
_symmetry_equiv_pos_as_xyz
'x,y,z'
loop_
_atom_site_label
_atom_site_type_symbol
_atom_site_fract_x
_atom_site_fract_y
_atom_site_fract_z
_atom_site_occupancy
Li1 Li 0.6667 0.3333 0.3340 1
Li2 Li 0.3333 0.6667 0.6660 1
Nd1 Nd 0.0000 0.0000 0.0000 1
Tl1 Tl 0.0000 0.0000 0.5000 1
Au1 Au 0.3333 0.6667 0.2495 1
Au2 Au 0.6667 0.3333 0.7505 1
```

Calculated values
spin magnetization	0.000	μB/atom
calculated total energy	-20.602	eV per cell
N(E_F)	4.64	states/eV/f.u.
energy relative to the elements	-11.9	kcal/mol of atoms


No. 5
Compound: LiNdTlAu
Source: the Alexandria database
Functional: PBE
Structure: optimized geometry

Structure (CIF):
```
data_LiNdTlAu
_chemical_formula_sum 'Li1 Nd1 Tl1 Au1'
_symmetry_space_group_name_H-M 'P 1'
_symmetry_Int_Tables_number 1
_cell_length_a 5.1095
_cell_length_b 5.1095
_cell_length_c 5.1095
_cell_angle_alpha 60.00
_cell_angle_beta 60.00
_cell_angle_gamma 60.00
loop_
_symmetry_equiv_pos_as_xyz
'x,y,z'
loop_
_atom_site_label
_atom_site_type_symbol
_atom_site_fract_x
_atom_site_fract_y
_atom_site_fract_z
_atom_site_occupancy
Li1 Li 0.2500 0.2500 0.2500 1
Tl1 Tl 0.5000 0.5000 0.5000 1
Nd1 Nd 0.7500 0.7500 0.7500 1
Au1 Au 0.0000 0.0000 0.0000 1
```

Calculated values
spin magnetization	0.000	μB/atom
calculated total energy	-14.239	eV per cell
relative energy among the computed polymorphs	0.019	eV per atom
N(E_F)	1.95	states/eV/f.u.
energy relative to the elements	-11.0	kcal/mol of atoms


No. 6
Compound: Li2NdTmAu4
Source: the Alexandria database
Functional: PBE
Structure: optimized geometry

Structure (CIF):
```
data_Li2NdTmAu4
_chemical_formula_sum 'Li2 Nd1 Tm1 Au4'
_symmetry_space_group_name_H-M 'P 1'
_symmetry_Int_Tables_number 1
_cell_length_a 4.6163
_cell_length_b 4.6163
_cell_length_c 9.4082
_cell_angle_alpha 75.80
_cell_angle_beta 75.80
_cell_angle_gamma 60.00
loop_
_symmetry_equiv_pos_as_xyz
'x,y,z'
loop_
_atom_site_label
_atom_site_type_symbol
_atom_site_fract_x
_atom_site_fract_y
_atom_site_fract_z
_atom_site_occupancy
Au1 Au 0.1165 0.1165 0.6504 1
Au2 Au 0.6076 0.6076 0.1773 1
Au3 Au 0.8835 0.8835 0.3496 1
Au4 Au 0.3924 0.3924 0.8227 1
Tm1 Tm 0.5000 0.5000 0.5000 1
Li1 Li 0.2452 0.2452 0.2644 1
Li2 Li 0.7548 0.7548 0.7356 1
Nd1 Nd 0.0000 0.0000 0.0000 1
```

Calculated values
spin magnetization	0.000	μB/atom
calculated total energy	-31.848	eV per cell
N(E_F)	5.27	states/eV/f.u.
energy relative to the elements	-16.3	kcal/mol of atoms